## one
# AlTlAs2

A relaxed structure of AlTlAs2 (GGA-PBEsol, Alexandria via LeMat-Bulk).

Calculated values
space group	No. 12
D(E_F)	2.5	states/eV/cell

a b c (Å): 3.906 3.906 6.922
angles (deg): 105.60 105.60 58.71
Sites, in units of the cell vectors:
Al (0.000, 0.000, 0.000)
Tl (0.500, 0.500, 0.500)
As (0.263, 0.263, 0.798)
As (0.737, 0.737, 0.202)

---

## two
# AlTlAs2

A relaxed structure of AlTlAs2 (GGA-PBEsol, Alexandria via LeMat-Bulk).

Calculated values
space group	No. 25
D(E_F)	1.5	states/eV/cell

a b c (Å): 3.760 3.999 6.148
angles (deg): 90.00 90.00 90.00
Sites, in units of the cell vectors:
Al (0.000, 0.000, 0.000)
Tl (0.000, 0.500, 0.416)
As (0.500, 0.000, 0.700)
As (0.500, 0.500, 0.989)

---

one is favored, and the nearest alternative lies 160 meV per atom above it.

---

## one
# AlTlAs2

A relaxed structure of AlTlAs2 (GGA-PBEsol, Alexandria via LeMat-Bulk).

Calculated values
space group	No. 71
D(E_F)	1.8	states/eV/cell

a b c (Å): 5.838 5.838 5.838
angles (deg): 147.68 128.51 62.11
Sites, in units of the cell vectors:
Al (0.000, 0.000, 0.000)
Tl (0.500, 0.500, 0.000)
As (0.208, 0.708, 0.500)
As (0.792, 0.292, 0.500)

---

## two
# AlTlAs2

A relaxed structure of AlTlAs2 (GGA-PBEsol, Alexandria via LeMat-Bulk).

Calculated values
space group	No. 122
D(E_F)	0.5	states/eV/cell

a b c (Å): 7.259 7.259 7.259
angles (deg): 131.68 131.68 70.73
Sites, in units of the cell vectors:
Al (0.000, 0.000, 0.000)
Al (0.750, 0.250, 0.500)
Tl (0.250, 0.750, 0.500)
Tl (0.500, 0.500, 0.000)
As (0.092, 0.625, 0.967)
As (0.375, 0.342, 0.467)
As (0.658, 0.125, 0.033)
As (0.875, 0.908, 0.533)

---

two is favored, and the nearest alternative lies 332 meV per atom above it.

---

## one
# Al2TlAs

A relaxed structure of Al2TlAs (GGA-PBEsol, Alexandria via LeMat-Bulk).

Calculated values
space group	No. 8
D(E_F)	1.9	states/eV/cell

a b c (Å): 4.622 4.622 5.889
angles (deg): 105.75 105.75 46.88
Sites, in units of the cell vectors:
Al (0.000, 0.000, 0.000)
Al (0.749, 0.749, 0.200)
Tl (0.515, 0.515, 0.490)
As (0.273, 0.273, 0.864)

---

## two
# Al2TlAs

A relaxed structure of Al2TlAs (GGA-PBEsol, Alexandria via LeMat-Bulk).

Calculated values
space group	No. 122
D(E_F)	1.9	states/eV/cell

a b c (Å): 6.883 6.883 6.883
angles (deg): 125.41 125.41 80.85
Sites, in units of the cell vectors:
Al (0.091, 0.625, 0.966)
Al (0.375, 0.341, 0.466)
Al (0.659, 0.125, 0.034)
Al (0.875, 0.909, 0.534)
Tl (0.250, 0.750, 0.500)
Tl (0.500, 0.500, 0.000)
As (0.000, 0.000, 0.000)
As (0.750, 0.250, 0.500)

---

## three
# Al2TlAs

A relaxed structure of Al2TlAs (GGA-PBEsol, Alexandria via LeMat-Bulk).

Calculated values
space group	No. 166
D(E_F)	1.2	states/eV/cell

a b c (Å): 7.464 7.464 7.464
angles (deg): 28.63 28.63 28.63
Sites, in units of the cell vectors:
Al (0.235, 0.235, 0.235)
Al (0.765, 0.765, 0.765)
Tl (0.000, 0.000, 0.000)
As (0.500, 0.500, 0.500)

---

three is favored, and the nearest alternative lies 135 meV per atom above it.

---

## one
# Al2TlAs

A relaxed structure of Al2TlAs (GGA-PBEsol, Alexandria via LeMat-Bulk).

Calculated values
space group	No. 47
D(E_F)	2.0	states/eV/cell

a b c (Å): 3.822 4.145 5.167
angles (deg): 90.00 90.00 90.00
Sites, in units of the cell vectors:
Al (0.000, 0.000, 0.000)
Al (0.500, 0.000, 0.500)
Tl (0.000, 0.500, 0.500)
As (0.500, 0.500, 0.000)

---

## two
# Al2TlAs

A relaxed structure of Al2TlAs (GGA-PBEsol, Alexandria via LeMat-Bulk).

Calculated values
space group	No. 139
D(E_F)	2.4	states/eV/cell

a b c (Å): 4.964 4.964 4.964
angles (deg): 124.06 124.06 83.10
Sites, in units of the cell vectors:
Al (0.250, 0.750, 0.500)
Al (0.750, 0.250, 0.500)
Tl (0.000, 0.000, 0.000)
As (0.500, 0.500, 0.000)

---

one is favored, and the nearest alternative lies 5 meV per atom above it.

---

## one
# AlAsW2

A relaxed structure of AlAsW2 (GGA-PBEsol, Alexandria via LeMat-Bulk).

Calculated values
space group	No. 65
D(E_F)	2.8	states/eV/cell

a b c (Å): 2.830 2.830 8.364
angles (deg): 90.00 90.00 112.52
Sites, in units of the cell vectors:
Al (0.000, 0.000, 0.000)
As (0.000, 0.000, 0.500)
W (0.500, 0.500, 0.259)
W (0.500, 0.500, 0.741)

---

## two
# AlAsW2

A relaxed structure of AlAsW2 (GGA-PBEsol, Alexandria via LeMat-Bulk).

Calculated values
space group	No. 123
D(E_F)	2.9	states/eV/cell

a b c (Å): 3.858 3.858 4.107
angles (deg): 90.00 90.00 90.00
Sites, in units of the cell vectors:
Al (0.000, 0.000, 0.000)
As (0.500, 0.500, 0.000)
W (0.000, 0.500, 0.500)
W (0.500, 0.000, 0.500)

---

one is favored, and the nearest alternative lies 140 meV per atom above it.

---

## one
# AlAsW2

A relaxed structure of AlAsW2 (GGA-PBEsol, Alexandria via LeMat-Bulk).

Calculated values
space group	No. 8
D(E_F)	2.5	states/eV/cell

a b c (Å): 4.756 4.756 4.527
angles (deg): 105.32 105.32 37.80
Sites, in units of the cell vectors:
Al (0.000, 0.000, 0.000)
As (0.249, 0.249, 0.681)
W (0.506, 0.506, 0.507)
W (0.746, 0.746, 0.177)

---

## two
# AlAsW2

A relaxed structure of AlAsW2 (GGA-PBEsol, Alexandria via LeMat-Bulk).

Calculated values
space group	No. 122
D(E_F)	4.2	states/eV/cell

a b c (Å): 9.619 9.619 9.619
angles (deg): 157.35 157.35 32.24
Sites, in units of the cell vectors:
Al (0.000, 0.000, 0.000)
Al (0.750, 0.250, 0.500)
As (0.250, 0.750, 0.500)
As (0.500, 0.500, 0.000)
W (0.123, 0.625, 0.998)
W (0.375, 0.373, 0.498)
W (0.627, 0.125, 0.002)
W (0.875, 0.877, 0.502)

---

## three
# AlAsW2

A relaxed structure of AlAsW2 (GGA-PBEsol, Alexandria via LeMat-Bulk).

Calculated values
space group	No. 99
D(E_F)	1.2	states/eV/cell

a b c (Å): 3.219 3.219 5.804
angles (deg): 90.00 90.00 90.00
Sites, in units of the cell vectors:
Al (0.000, 0.000, 0.000)
As (0.500, 0.500, 0.266)
W (0.000, 0.000, 0.491)
W (0.500, 0.500, 0.768)

---

three is favored, and the nearest alternative lies 214 meV per atom above it.

---

## one
# AlAsW2

A relaxed structure of AlAsW2 (GGA-PBEsol, Alexandria via LeMat-Bulk).

Calculated values
space group	No. 47
D(E_F)	2.5	states/eV/cell

a b c (Å): 3.225 4.188 4.528
angles (deg): 90.00 90.00 90.00
Sites, in units of the cell vectors:
Al (0.000, 0.000, 0.000)
As (0.500, 0.000, 0.500)
W (0.000, 0.500, 0.500)
W (0.500, 0.500, 0.000)

---

## two
# AlAsW2

A relaxed structure of AlAsW2 (GGA-PBEsol, Alexandria via LeMat-Bulk).

Calculated values
space group	No. 12
D(E_F)	2.3	states/eV/cell

a b c (Å): 4.727 4.727 4.547
angles (deg): 96.23 96.23 38.00
Sites, in units of the cell vectors:
Al (0.000, 0.000, 0.000)
As (0.500, 0.500, 0.500)
W (0.251, 0.251, 0.752)
W (0.749, 0.749, 0.248)

---

two is favored, and the nearest alternative lies 101 meV per atom above it.

---

## one
# Zr2AlAs

A relaxed structure of Zr2AlAs (GGA-PBEsol, Alexandria via LeMat-Bulk).

Calculated values
space group	No. 139
D(E_F)	1.5	states/eV/cell

a b c (Å): 5.018 5.018 5.018
angles (deg): 129.33 129.33 74.48
Sites, in units of the cell vectors:
Zr (0.250, 0.750, 0.500)
Zr (0.750, 0.250, 0.500)
Al (0.000, 0.000, 0.000)
As (0.500, 0.500, 0.000)

---

## two
# Zr2AlAs

A relaxed structure of Zr2AlAs (GGA-PBEsol, Alexandria via LeMat-Bulk).

Calculated values
space group	No. 123
D(E_F)	3.0	states/eV/cell

a b c (Å): 3.414 3.414 6.385
angles (deg): 90.00 90.00 90.00
Sites, in units of the cell vectors:
Zr (0.000, 0.000, 0.235)
Zr (0.000, 0.000, 0.765)
Al (0.500, 0.500, 0.500)
As (0.500, 0.500, 0.000)

---

two is favored, and the nearest alternative lies 34 meV per atom above it.

---

## one
# AlAu4

A relaxed structure of AlAu4 (GGA-PBEsol, Alexandria via LeMat-Bulk).

Calculated values
space group	No. 12
D(E_F)	1.3	states/eV/cell

a b c (Å): 2.958 2.958 11.051
angles (deg): 97.38 97.38 60.46
Sites, in units of the cell vectors:
Al (0.000, 0.000, 0.000)
Au (0.202, 0.202, 0.605)
Au (0.391, 0.391, 0.181)
Au (0.609, 0.609, 0.819)
Au (0.798, 0.798, 0.395)

---

## two
# AlAu4

A relaxed structure of AlAu4 (GGA-PBEsol, Alexandria via LeMat-Bulk).

Calculated values
space group	No. 87
D(E_F)	1.4	states/eV/cell

a b c (Å): 5.071 5.071 5.071
angles (deg): 97.58 97.58 137.41
Sites, in units of the cell vectors:
Al (0.000, 0.000, 0.000)
Au (0.213, 0.591, 0.804)
Au (0.409, 0.213, 0.621)
Au (0.591, 0.787, 0.379)
Au (0.787, 0.409, 0.196)

---

## three
# AlAu4

A relaxed structure of AlAu4 (GGA-PBEsol, Alexandria via LeMat-Bulk).

Calculated values
space group	No. 229
D(E_F)	2.8	states/eV/cell

a b c (Å): 4.990 4.990 4.990
angles (deg): 109.47 109.47 109.47
Sites, in units of the cell vectors:
Al (0.000, 0.000, 0.000)
Au (0.000, 0.000, 0.500)
Au (0.000, 0.500, 0.000)
Au (0.500, 0.000, 0.000)
Au (0.500, 0.500, 0.500)

---

## four
# AlAu4

A relaxed structure of AlAu4 (GGA-PBEsol, Alexandria via LeMat-Bulk).

Calculated values
space group	No. 198
D(E_F)	5.7	states/eV/cell

a b c (Å): 6.911 6.911 6.911
angles (deg): 90.00 90.00 90.00
Sites, in units of the cell vectors:
Al (0.063, 0.063, 0.063)
Al (0.437, 0.937, 0.563)
Al (0.563, 0.437, 0.937)
Al (0.937, 0.563, 0.437)
Au (0.050, 0.884, 0.713)
Au (0.116, 0.213, 0.450)
Au (0.183, 0.817, 0.317)
Au (0.213, 0.450, 0.116)
Au (0.287, 0.550, 0.616)
Au (0.317, 0.183, 0.817)
Au (0.384, 0.787, 0.950)
Au (0.450, 0.116, 0.213)
Au (0.550, 0.616, 0.287)
Au (0.616, 0.287, 0.550)
Au (0.683, 0.683, 0.683)
Au (0.713, 0.050, 0.884)
Au (0.787, 0.950, 0.384)
Au (0.817, 0.317, 0.183)
Au (0.884, 0.713, 0.050)
Au (0.950, 0.384, 0.787)

---

four is favored, and the nearest alternative lies 22 meV per atom above it.

---

## one
# AlAu5

A relaxed structure of AlAu5 (GGA-PBEsol, Alexandria via LeMat-Bulk).

Calculated values
space group	No. 189
D(E_F)	2.1	states/eV/cell

a b c (Å): 4.969 4.969 4.638
angles (deg): 90.00 90.00 120.00
Sites, in units of the cell vectors:
Al (0.000, 0.000, 0.000)
Au (0.000, 0.676, 0.500)
Au (0.324, 0.324, 0.500)
Au (0.333, 0.667, 0.000)
Au (0.667, 0.333, 0.000)
Au (0.676, 0.000, 0.500)

---

## two
# AlAu5

A relaxed structure of AlAu5 (GGA-PBEsol, Alexandria via LeMat-Bulk).

Calculated values
space group	No. 38
D(E_F)	1.5	states/eV/cell

a b c (Å): 4.618 7.241 7.241
angles (deg): 24.32 90.00 90.00
Sites, in units of the cell vectors:
Al (0.000, 0.000, 0.000)
Au (0.000, 0.342, 0.342)
Au (0.000, 0.659, 0.659)
Au (0.500, 0.119, 0.119)
Au (0.500, 0.455, 0.455)
Au (0.500, 0.786, 0.786)

---

one is favored, and the nearest alternative lies 22 meV per atom above it.

---

## one
# AlAuCl2

A relaxed structure of AlAuCl2 (GGA-PBEsol, Alexandria via LeMat-Bulk).

Calculated values
space group	No. 122
D(E_F)	1.3	states/eV/cell

a b c (Å): 6.742 6.742 6.742
angles (deg): 97.91 97.91 136.46
Sites, in units of the cell vectors:
Al (0.000, 0.000, 0.000)
Al (0.750, 0.250, 0.500)
Au (0.250, 0.750, 0.500)
Au (0.500, 0.500, 0.000)
Cl (0.375, 0.045, 0.170)
Cl (0.795, 0.625, 0.670)
Cl (0.875, 0.205, 0.830)
Cl (0.955, 0.125, 0.330)

---

## two
# AlAuCl2

A relaxed structure of AlAuCl2 (GGA-PBEsol, Alexandria via LeMat-Bulk).

Calculated values
space group	No. 47
D(E_F)	1.7	states/eV/cell

a b c (Å): 3.303 4.154 5.668
angles (deg): 90.00 90.00 90.00
Sites, in units of the cell vectors:
Al (0.000, 0.000, 0.000)
Au (0.500, 0.000, 0.500)
Cl (0.000, 0.500, 0.500)
Cl (0.500, 0.500, 0.000)

---

one is favored, and the nearest alternative lies 336 meV per atom above it.

---

## one
# Al2HgAu

A relaxed structure of Al2HgAu (GGA-PBEsol, Alexandria via LeMat-Bulk).

Calculated values
space group	No. 10
D(E_F)	1.4	states/eV/cell

a b c (Å): 3.117 2.941 8.080
angles (deg): 90.00 90.21 90.00
Sites, in units of the cell vectors:
Al (0.003, 0.000, 0.210)
Al (0.997, 0.000, 0.790)
Hg (0.000, 0.500, 0.500)
Au (0.500, 0.500, 0.000)

---

## two
# Al2HgAu

A relaxed structure of Al2HgAu (GGA-PBEsol, Alexandria via LeMat-Bulk).

Calculated values
space group	No. 216
D(E_F)	1.9	states/eV/cell

a b c (Å): 4.710 4.710 4.710
angles (deg): 60.00 60.00 60.00
Sites, in units of the cell vectors:
Al (0.000, 0.000, 0.000)
Al (0.250, 0.250, 0.250)
Hg (0.500, 0.500, 0.500)
Au (0.750, 0.750, 0.750)

---

one is favored, and the nearest alternative lies 264 meV per atom above it.